i | Compound: AlTlMo2
Source: the Alexandria database
Functional: GGA-PBE
Structure: optimized geometry

Cell lengths 4.5569, 3.3430, 4.5794 Å; angles 90.00, 96.29, 90.00 degrees
Space group P2/m (No. 10)
Asymmetric unit:
Al  0.0000  0.0000  0.0000 (multiplicity 1)
Tl  0.0000  0.5000  0.5000 (multiplicity 1)
Mo  0.5000  0.0000  0.5000 (multiplicity 1)
Mo  0.5000  0.5000  0.0000 (multiplicity 1)

The crystal system is monoclinic.

---

ii | Compound: AlTlMo2
Source: the Alexandria database
Functional: GGA-PBE
Structure: optimized geometry

Cell lengths 4.8848, 4.8848, 2.8983 Å; angles 90.00, 90.00, 90.00 degrees
Space group P4/mmm (No. 123)
Asymmetric unit:
Al  0.0000  0.0000  0.0000 (multiplicity 1)
Tl  0.5000  0.5000  0.0000 (multiplicity 1)
Mo  0.0000  0.5000  0.5000 (multiplicity 2)

The crystal system is tetragonal.

---

iii | Compound: AlTlMo2
Source: the Alexandria database
Functional: GGA-PBE
Structure: optimized geometry

Cell lengths 6.4957, 6.4957, 6.4957 Å; angles 90.00, 90.00, 90.00 degrees
Space group Fm-3m (No. 225)
Asymmetric unit:
Al  0.0000  0.0000  0.0000 (multiplicity 4)
Tl  0.0000  0.0000  0.5000 (multiplicity 4)
Mo  0.2500  0.2500  0.2500 (multiplicity 8)

The crystal system is cubic.

---

Ranking the structures above from most stable to least stable yields i, ii, iii.